(1)
AgPb | GGA-PBEsol | relaxed

Summary:
ΔH_f (0 K)   0.12 eV/atom
Total magnetization   0.000 μB/atom
Theoretical density   11.38 g/cm3

abc: 10.8611 8.2541 6.1546
angles: 90.00 90.00 90.00
Last column: nearest neighbours and their distance in Å.
Space group Pbcm (No. 57)
One atom of each set of equivalent atoms:
Ag 0.0559 0.0444 0.2500 (multiplicity 4)  6 Pb 2.91-3.05
Ag 0.3858 0.5793 0.2500 (multiplicity 4)  4 Ag 2.86-3.17, 5 Pb 2.88-3.10
Ag 0.4334 0.2500 0.0000 (multiplicity 4)  6 Ag 2.86-3.17, 4 Pb 3.01-3.20
Pb 0.1269 0.7500 0.0000 (multiplicity 4)  4 Ag 2.98-3.03, 2 Pb 3.08
Pb 0.1842 0.1466 0.7500 (multiplicity 4)  3 Ag 2.88-3.05
Pb 0.3589 0.5484 0.7500 (multiplicity 4)  8 Ag 2.97-3.20

=====

(2)
Mg5Zn | GGA-PBEsol | relaxed

Summary:
ΔH_f (0 K)   0.00 eV/atom
Total magnetization   0.000 μB/atom
Theoretical density   2.50 g/cm3

abc: 4.4001 12.9542 4.3601
angles: 90.00 90.00 90.00
Last column: nearest neighbours and their distance in Å.
Space group Cmmm (No. 65)
One atom of each set of equivalent atoms:
Mg 0.0000 0.0000 0.0000 (multiplicity 2)  8 Mg 3.01-3.04, 4 Zn 3.10
Mg 0.0000 0.1597 0.5000 (multiplicity 4)  10 Mg 3.01-3.21, 2 Zn 3.02
Mg 0.0000 0.3382 0.0000 (multiplicity 4)  2 Zn 3.02, 10 Mg 3.04-3.18
Zn 0.0000 0.5000 0.5000 (multiplicity 2)  12 Mg 3.02-3.10

=====

(3)
YTaTl | GGA-PBEsol | relaxed

Summary:
ΔH_f (0 K)   1.24 eV/atom
Energy relative to the lowest polymorph listed for this composition   3.13 eV/f.u.
Total magnetization   0.967 μB/atom
Theoretical density   9.42 g/cm3

abc: 6.9416 6.9416 6.9416
angles: 90.00 90.00 90.00
Last column: nearest neighbours and their distance in Å.
Space group F-43m (No. 216)
One atom of each set of equivalent atoms:
Y 0.0000 0.0000 0.0000 (multiplicity 4)  4 Tl 3.01, 4 Ta 3.01
Ta 0.2500 0.2500 0.7500 (multiplicity 4)  4 Y 3.01
Tl 0.2500 0.2500 0.2500 (multiplicity 4)  4 Y 3.01

=====

(4)
CuGe3S | GGA-PBEsol | relaxed

Summary:
Total magnetization   0.000 μB/atom
Energy relative to the elements, uncorrected   0.456 eV per atom
Theoretical density   5.33 g/cm3

abc: 4.6056 4.6056 4.6056
angles: 90.00 90.00 90.00
Last column: nearest neighbours and their distance in Å.
Space group Pm-3m (No. 221)
One atom of each set of equivalent atoms:
Cu 0.0000 0.0000 0.0000 (multiplicity 1)  6 Ge 2.30
Ge 0.0000 0.0000 0.5000 (multiplicity 3)  2 Cu 2.30
S 0.5000 0.5000 0.5000 (multiplicity 1)  12 Ge 3.26

=====

Among the records above, which one has the lowest theoretical density? Mg5Zn